This record from OQMD describes crystalline Y3Al3IrPd2 at its relaxed geometry. The functional is PBE-GGA.

energy: -57.91 eV for the cell shown
SG: No. 189
total magnetization: 0.00 Bohr magnetons per cell

```
Y3Al3IrPd2
1.0
7.159 0.000 0.000
-3.580 6.200 0.000
0.000 0.000 4.041
Ir Al Y Pd
1 3 3 2
direct
0.000 0.000 0.500
0.000 0.234 0.000
0.766 0.766 0.000
0.234 0.000 0.000
0.410 0.410 0.500
0.590 0.000 0.500
0.000 0.590 0.500
0.333 0.667 0.000
0.667 0.333 0.000
```

This record from OQMD describes crystalline NdTlHgS3 at its relaxed geometry. The functional is PBE-GGA.

energy: -51.12 eV for the cell shown
SG: No. 63
distance to the lowest polymorph of the same formula: 0 meV per atom
total magnetization: 0.00 Bohr magnetons per cell

```
NdTlHgS3
1.0
-5.048 4.836 2.570
-6.468 0.978 3.560
5.364 0.493 9.609
S Hg Nd Tl
6 2 2 2
direct
0.070 0.070 0.250
0.369 0.369 0.450
0.631 0.631 0.950
0.369 0.369 0.050
0.631 0.631 0.550
0.930 0.930 0.750
0.454 0.454 0.250
0.546 0.546 0.750
0.000 0.000 0.500
0.000 0.000 0.000
0.741 0.741 0.250
0.259 0.259 0.750
```

This record from OQMD describes crystalline NpTlCd at its relaxed geometry. The functional is PBE-GGA.

energy: -14.58 eV for the cell shown
SG: No. 216
total magnetization: 4.00 Bohr magnetons per cell

```
NpTlCd
1.0
-1.306 2.966 3.838
-3.508 3.538 -0.641
-4.510 -0.515 2.151
Cd Np Tl
1 1 1
direct
0.250 0.250 0.250
0.750 0.750 0.750
0.000 0.000 0.000
```

This record from OQMD describes crystalline TbTlHg3Te4 at its relaxed geometry. The functional is PBE-GGA.

energy: -46.98 eV for the cell shown
SG: No. 11
distance to the lowest polymorph of the same formula: 4 meV per atom
total magnetization: 0.01 Bohr magnetons per cell

```
TbTlHg3Te4
1.0
-6.632 -1.761 -1.585
2.639 -3.330 -7.346
4.288 -8.727 5.496
Hg Tb Te Tl
6 2 8 2
direct
0.809 0.035 0.933
0.191 0.535 0.067
0.809 0.465 0.933
0.521 0.750 0.735
0.479 0.250 0.265
0.191 0.965 0.067
0.026 0.750 0.792
0.974 0.250 0.208
0.153 0.750 0.563
0.741 0.488 0.669
0.259 0.512 0.331
0.847 0.250 0.437
0.454 0.750 0.996
0.259 0.988 0.331
0.546 0.250 0.004
0.741 0.012 0.669
0.325 0.250 0.588
0.675 0.750 0.412
```